# GaSb2I | Alexandria via LeMat-Bulk | PBE | relaxed
# Excess energy over the best structure of this formula in the dataset   0.073 eV/atom
# Crystal system   cubic
# Formation energy without anion corrections   0.380 eV/atom
data_GaSb2I
_chemical_formula_sum 'Ga4 Sb8 I4'
_cell_length_a 7.577
_cell_length_b 7.577
_cell_length_c 7.577
_cell_angle_alpha 90.00
_cell_angle_beta 90.00
_cell_angle_gamma 90.00
_symmetry_space_group_name_H-M 'F m -3 m'
_symmetry_Int_Tables_number 225
_symmetry_space_group_name_Hall '-F 4 2 3'
loop_
_atom_site_label
_atom_site_type_symbol
_atom_site_fract_x
_atom_site_fract_y
_atom_site_fract_z
_atom_site_occupancy
Ga1 Ga 0.000 0.000 0.000 1
Sb1 Sb 0.250 0.250 0.250 1
I1 I 0.000 0.000 0.500 1